Ac3PmS4 after structural relaxation, computed with GGA-PBE.

Computed properties:
crystal system: cubic
VASP energy: -49.38 eV per cell
spin magnetization: 0.00 μB per atom
relative energy among the computed polymorphs: 28 meV per atom
space group: Pm-3m (221)

The structure in CIF format:
```
data_Ac3PmS4
_chemical_formula_sum 'Ac3 Pm1 S4'
_space_group_name_H-M_alt 'P 1'
_space_group_IT_number 1
_space_group_name_Hall 'P 1'
_cell_length_a 6.0088
_cell_length_b 6.0088
_cell_length_c 6.0088
_cell_angle_alpha 90.00
_cell_angle_beta 90.00
_cell_angle_gamma 90.00
loop_
_atom_site_label
_atom_site_type_symbol
_atom_site_fract_x
_atom_site_fract_y
_atom_site_fract_z
Ac1 Ac 0.0000 0.0000 0.5000
Ac2 Ac 0.0000 0.5000 0.0000
Ac3 Ac 0.5000 0.0000 0.0000
Pm1 Pm 0.5000 0.5000 0.5000
S1 S 0.0000 0.0000 0.0000
S2 S 0.0000 0.5000 0.5000
S3 S 0.5000 0.0000 0.5000
S4 S 0.5000 0.5000 0.0000
```

Hg2OsRh after structural relaxation, computed with GGA-PBE.

Computed properties:
crystal system: tetragonal
formation enthalpy at 0 K: 768 meV/atom
VASP energy: -16.11 eV per cell
spin magnetization: 0.07 μB per atom
relative energy among the computed polymorphs: 430 meV per atom
space group: I-4m2 (119)

The structure in CIF format:
```
data_Hg2OsRh
_chemical_formula_sum 'Hg2 Os1 Rh1'
_space_group_name_H-M_alt 'P 1'
_space_group_IT_number 1
_space_group_name_Hall 'P 1'
_cell_length_a 4.9741
_cell_length_b 4.9741
_cell_length_c 4.9741
_cell_angle_alpha 130.55
_cell_angle_beta 130.55
_cell_angle_gamma 72.53
loop_
_atom_site_label
_atom_site_type_symbol
_atom_site_fract_x
_atom_site_fract_y
_atom_site_fract_z
Hg1 Hg 0.0000 0.0000 0.0000
Hg2 Hg 0.7500 0.2500 0.5000
Os1 Os 0.2500 0.7500 0.5000
Rh1 Rh 0.5000 0.5000 0.0000
```

ScSi2W after structural relaxation, computed with GGA-PBE.

Computed properties:
crystal system: tetragonal
VASP energy: -30.83 eV per cell
spin magnetization: 0.00 μB per atom
relative energy among the computed polymorphs: 210 meV per atom
space group: P4mm (99)

The structure in CIF format:
```
data_ScSi2W
_chemical_formula_sum 'Sc1 Si2 W1'
_space_group_name_H-M_alt 'P 1'
_space_group_IT_number 1
_space_group_name_Hall 'P 1'
_cell_length_a 3.3671
_cell_length_b 3.3671
_cell_length_c 5.6228
_cell_angle_alpha 90.00
_cell_angle_beta 90.00
_cell_angle_gamma 90.00
loop_
_atom_site_label
_atom_site_type_symbol
_atom_site_fract_x
_atom_site_fract_y
_atom_site_fract_z
Sc1 Sc 0.0000 0.0000 0.0000
Si1 Si 0.0000 0.0000 0.5129
Si2 Si 0.5000 0.5000 0.2701
W1 W 0.5000 0.5000 0.7164
```